! MnGaPCl (PBE, optimized geometry); values from VASP
! Raw total energy: -4.88 eV per atom
! Magnetic moment: 0.00 μB/f.u.
! Density: 4.02 g/cm3
! Energy above the lowest structure with this stoichiometry: 5.362 kcal/mol of atoms
! Formation energy without anion corrections: -0.02 eV/atom
! SG: Imm2, No. 44
&SYSTEM
  ibrav = 0, nat = 8, ntyp = 4
/
ATOMIC_SPECIES
Ga 69.72 Ga.upf
Mn 54.94 Mn.upf
Cl 35.45 Cl.upf
P 30.97 P.upf
CELL_PARAMETERS angstrom
-2.9190 -1.3660 2.6807
2.2703 -1.9429 1.4821
2.5676 8.3971 7.0748
ATOMIC_POSITIONS crystal
Ga 0.5000 0.0000 0.1757
Ga 0.0000 0.5000 0.6757
Mn 0.5000 0.5000 0.3266
Mn 0.0000 0.0000 0.8266
Cl 0.5000 0.5000 0.5352
Cl 0.0000 0.0000 0.0352
P 0.5000 0.0000 0.8164
P 0.0000 0.5000 0.3164